The following is a DFT calculation (PBE) of an optimized crystal structure of LiBeAu4. Values from VASP.

The structure in Quantum ESPRESSO input format:
```
&SYSTEM
  ibrav = 0, nat = 6, ntyp = 3
/
ATOMIC_SPECIES
Li 6.94 Li.upf
Be 9.01 Be.upf
Au 196.97 Au.upf
CELL_PARAMETERS angstrom
4.0535 -1.9357 0.0000
4.0535 1.9357 0.0000
-3.6295 0.0000 6.6368
ATOMIC_POSITIONS angstrom
Li 0.0000 0.0000 0.0000
Be 2.2388 0.0000 3.3184
Au -0.4898 0.0000 2.6338
Au 2.4298 0.0000 0.9326
Au 2.0477 0.0000 5.7042
Au 4.9673 0.0000 4.0030
```

## Properties
Energy   -3.31 eV/atom
Space group   C2/m
D(E_F)   1.3 states/eV per cell
Energy relative to the lowest polymorph listed for this composition   0.42 eV per formula unit
Calculated formation energy   -180 meV per atom

=====

The following is a DFT calculation (PBE) of an optimized crystal structure of Li2Be3Au9. Values from VASP.

The structure in Quantum ESPRESSO input format:
```
&SYSTEM
  ibrav = 0, nat = 28, ntyp = 3
/
ATOMIC_SPECIES
Li 6.94 Li.upf
Be 9.01 Be.upf
Au 196.97 Au.upf
CELL_PARAMETERS angstrom
6.3684 -3.6259 0.0000
6.3684 3.6259 0.0000
-4.2010 0.0000 9.5937
ATOMIC_POSITIONS angstrom
Li 1.1733 0.5308 2.3897
Li -0.9272 -0.5308 7.1866
Li 9.4630 0.5308 2.4071
Li 7.3625 -0.5308 7.2040
Be 3.1842 1.8130 0.0000
Be 3.2073 1.7950 4.7219
Be 7.4290 1.7950 0.0750
Be 1.0837 -1.8130 4.7969
Be 1.1068 -1.7950 9.5187
Be 5.3285 -1.7950 4.8718
Au 5.2906 3.1445 0.7441
Au 5.3457 3.1445 4.0527
Au 3.7455 1.4795 2.4058
Au 1.0772 0.6454 5.5121
Au 3.2177 1.5333 7.1953
Au 1.0686 0.7076 8.8809
Au 3.1777 -0.6454 0.7153
Au 6.8908 1.4795 2.3910
Au 3.1691 -0.7076 4.0841
Au 5.3668 0.7076 5.5096
Au 1.6450 -1.4795 7.2027
Au 5.3581 0.6454 8.8785
Au 7.4673 -0.7076 0.7128
Au 5.3182 -1.5333 2.3984
Au 7.4586 -0.6454 4.0816
Au 4.7903 -1.4795 7.1879
Au 3.1901 -3.1445 5.5410
Au 3.2452 -3.1445 8.8496
```

## Properties
Energy   -3.43 eV/atom
Space group   C2/c
D(E_F)   4.7 states/eV per cell
Calculated formation energy   -251 meV per atom

=====

The following is a DFT calculation (PBE) of an optimized crystal structure of LiBeAu6. Values from VASP.

The structure in Quantum ESPRESSO input format:
```
&SYSTEM
  ibrav = 0, nat = 8, ntyp = 3
/
ATOMIC_SPECIES
Li 6.94 Li.upf
Be 9.01 Be.upf
Au 196.97 Au.upf
CELL_PARAMETERS angstrom
4.8489 0.0000 0.0000
0.0821 5.3474 0.0000
0.8359 2.1534 5.3243
ATOMIC_POSITIONS angstrom
Li 0.0000 0.0000 0.0000
Be 2.8834 3.7504 2.6622
Au 0.8360 2.4492 2.3895
Au 2.1129 4.3867 4.7528
Au 2.6026 5.7454 1.3790
Au 3.1643 1.7553 3.9454
Au 3.6540 3.1140 0.5716
Au 4.9308 5.0516 2.9349
```

## Properties
Energy   -3.31 eV/atom
Space group   P-1
D(E_F)   2.3 states/eV per cell
Energy relative to the lowest polymorph listed for this composition   0.15 eV per formula unit
Calculated formation energy   -146 meV per atom

=====

The following is a DFT calculation (PBE) of an optimized crystal structure of LiBe2Au. Values from VASP.

The structure in Quantum ESPRESSO input format:
```
&SYSTEM
  ibrav = 0, nat = 4, ntyp = 3
/
ATOMIC_SPECIES
Li 6.94 Li.upf
Be 9.01 Be.upf
Au 196.97 Au.upf
CELL_PARAMETERS angstrom
2.4789 -4.0095 0.0000
2.4789 4.0095 0.0000
-1.0099 0.0000 2.4564
ATOMIC_POSITIONS angstrom
Li 0.0000 0.0000 0.0000
Be 0.7345 2.0048 1.2282
Be 0.7345 -2.0048 1.2282
Au 2.4789 0.0000 0.0000
```

## Properties
Energy   -3.11 eV/atom
Space group   C2/m
D(E_F)   0.7 states/eV per cell
Energy relative to the lowest polymorph listed for this composition   1.03 eV per formula unit
Calculated formation energy   51 meV per atom

=====

The following is a DFT calculation (PBE) of an optimized crystal structure of LiBe4Au5. Values from VASP.

The structure in Quantum ESPRESSO input format:
```
&SYSTEM
  ibrav = 0, nat = 10, ntyp = 3
/
ATOMIC_SPECIES
Li 6.94 Li.upf
Be 9.01 Be.upf
Au 196.97 Au.upf
CELL_PARAMETERS angstrom
2.9710 0.0000 0.0000
0.0000 2.9710 0.0000
0.0000 0.0000 15.3777
ATOMIC_POSITIONS angstrom
Li 0.0000 0.0000 0.0000
Be 0.0000 0.0000 3.2307
Be 0.0000 0.0000 6.2218
Be 0.0000 0.0000 9.1559
Be 0.0000 0.0000 12.1470
Au 1.4855 1.4855 1.8295
Au 1.4855 1.4855 4.7509
Au 1.4855 1.4855 7.6888
Au 1.4855 1.4855 10.6268
Au 1.4855 1.4855 13.5481
```

## Properties
Energy   -3.53 eV/atom
Space group   P4/mmm
D(E_F)   2.1 states/eV per cell
Calculated formation energy   -209 meV per atom

=====

The following is a DFT calculation (PBE) of an optimized crystal structure of LiBeAu3. Values from VASP.

The structure in Quantum ESPRESSO input format:
```
&SYSTEM
  ibrav = 0, nat = 5, ntyp = 3
/
ATOMIC_SPECIES
Li 6.94 Li.upf
Be 9.01 Be.upf
Au 196.97 Au.upf
CELL_PARAMETERS angstrom
4.4117 0.0000 0.0000
0.0000 4.4117 0.0000
0.0000 0.0000 4.4117
ATOMIC_POSITIONS angstrom
Li 0.0000 0.0000 0.0000
Be 2.2059 2.2059 2.2059
Au 0.0000 0.0000 2.2059
Au 0.0000 2.2059 0.0000
Au 2.2059 0.0000 0.0000
```

## Properties
Energy   -2.52 eV/atom
Space group   Pm-3m
D(E_F)   1.6 states/eV per cell
Energy relative to the lowest polymorph listed for this composition   4.37 eV per formula unit
Calculated formation energy   573 meV per atom

=====

The following is a DFT calculation (PBE) of an optimized crystal structure of LiBe2Au6. Values from VASP.

The structure in Quantum ESPRESSO input format:
```
&SYSTEM
  ibrav = 0, nat = 9, ntyp = 3
/
ATOMIC_SPECIES
Li 6.94 Li.upf
Be 9.01 Be.upf
Au 196.97 Au.upf
CELL_PARAMETERS angstrom
4.2597 0.0000 0.0000
0.0000 4.6401 3.5723
0.0000 -4.6401 3.5723
ATOMIC_POSITIONS angstrom
Li 0.0000 0.0000 0.0000
Be 2.1299 -1.1592 2.3356
Be 2.1299 1.1592 2.3356
Au 0.0000 0.0000 2.7897
Au 0.0000 -2.0441 5.1787
Au 0.0000 2.0441 5.1787
Au 2.1299 -3.1435 3.5552
Au 2.1299 0.0000 4.6413
Au 2.1299 3.1435 3.5552
```

## Properties
Energy   -3.39 eV/atom
Space group   Amm2
D(E_F)   2.2 states/eV per cell
Energy relative to the lowest polymorph listed for this composition   0.20 eV per formula unit
Calculated formation energy   -159 meV per atom

=====

The following is a DFT calculation (PBE) of an optimized crystal structure of Li2BeAu. Values from VASP.

The structure in Quantum ESPRESSO input format:
```
&SYSTEM
  ibrav = 0, nat = 4, ntyp = 3
/
ATOMIC_SPECIES
Li 6.94 Li.upf
Be 9.01 Be.upf
Au 196.97 Au.upf
CELL_PARAMETERS angstrom
3.5152 0.0000 0.0000
0.0000 3.5568 0.0000
0.0000 0.0000 4.2410
ATOMIC_POSITIONS angstrom
Li 0.0000 0.0000 0.0000
Li 1.7576 1.7784 0.0000
Be 0.0000 1.7784 2.1205
Au 1.7576 0.0000 2.1205
```

## Properties
Energy   -2.91 eV/atom
Space group   Pmmm
D(E_F)   1.0 states/eV per cell
Calculated formation energy   -199 meV per atom

=====

The following is a DFT calculation (PBE) of an optimized crystal structure of Li2BeAu. Values from VASP.

The structure in Quantum ESPRESSO input format:
```
&SYSTEM
  ibrav = 0, nat = 4, ntyp = 3
/
ATOMIC_SPECIES
Li 6.94 Li.upf
Be 9.01 Be.upf
Au 196.97 Au.upf
CELL_PARAMETERS angstrom
1.3947 0.8053 8.8664
-1.3947 0.8053 8.8664
0.0000 -1.6105 8.8664
ATOMIC_POSITIONS angstrom
Li 0.0000 0.0000 6.6047
Li 0.0000 0.0000 19.9944
Be 0.0000 0.0000 13.2995
Au 0.0000 0.0000 0.0000
```

## Properties
Energy   -2.63 eV/atom
Space group   R-3m
D(E_F)   2.5 states/eV per cell
Calculated formation energy   82 meV per atom

=====

The following is a DFT calculation (PBE) of an optimized crystal structure of Li2BeAu. Values from VASP.

The structure in Quantum ESPRESSO input format:
```
&SYSTEM
  ibrav = 0, nat = 4, ntyp = 3
/
ATOMIC_SPECIES
Li 6.94 Li.upf
Be 9.01 Be.upf
Au 196.97 Au.upf
CELL_PARAMETERS angstrom
2.8134 0.0000 0.0000
0.0000 3.5306 0.0000
0.0000 0.0000 5.7718
ATOMIC_POSITIONS angstrom
Li 0.0000 0.0000 0.0000
Li 1.4067 1.7653 1.6306
Be 1.4067 1.7653 4.2074
Au 0.0000 0.0000 3.1611
```

## Properties
Energy   -2.86 eV/atom
Space group   Pmm2
D(E_F)   0.9 states/eV per cell
Calculated formation energy   -150 meV per atom

=====

The following is a DFT calculation (PBE) of an optimized crystal structure of LiBeAu4. Values from VASP.

The structure in Quantum ESPRESSO input format:
```
&SYSTEM
  ibrav = 0, nat = 12, ntyp = 3
/
ATOMIC_SPECIES
Li 6.94 Li.upf
Be 9.01 Be.upf
Au 196.97 Au.upf
CELL_PARAMETERS angstrom
4.8409 0.0000 0.0000
-0.9247 5.3500 0.0000
-0.4113 -0.8798 7.5967
ATOMIC_POSITIONS angstrom
Li 0.0752 2.0452 1.6747
Li 3.4297 2.4250 5.9219
Be 1.3696 4.8595 1.8860
Be 2.1352 -0.3893 5.7107
Au -0.3981 -0.1983 6.4003
Au 0.0505 4.0998 3.8536
Au 1.0395 1.6316 4.8336
Au 1.0576 3.0816 7.2481
Au 2.4473 1.3886 0.3486
Au 2.4654 2.8386 2.7630
Au 3.4544 0.3704 3.7431
Au 3.9029 4.6685 1.1964
```

## Properties
Energy   -3.38 eV/atom
Space group   P-1
D(E_F)   2.3 states/eV per cell
Energy relative to the lowest polymorph listed for this composition   0.00 eV per formula unit
Calculated formation energy   -250 meV per atom

=====

Which formula does entry 9 have? Li2BeAu